# 1
Computed, not measured: a geometry-optimized ZrCu structure at the PBE level of DFT.

a b c (Å): 5.2379 11.6436 4.5011
angles (deg): 90.00 90.00 90.00
Positions (direct):
Zr (0.5391, 0.0853, 0.0000)
Zr (0.8745, 0.7500, 0.0000)
Zr (0.7942, 0.5852, 0.5000)
Zr (0.0305, 0.2500, 0.0000)
Zr (0.5391, 0.4147, 0.0000)
Zr (0.4589, 0.2500, 0.5000)
Zr (0.3028, 0.7500, 0.5000)
Zr (0.7942, 0.9148, 0.5000)
Cu (0.9404, 0.1357, 0.5000)
Cu (0.2995, 0.5029, 0.5000)
Cu (0.0337, 0.0028, 0.0000)
Cu (0.3930, 0.8643, 0.0000)
Cu (0.3930, 0.6357, 0.0000)
Cu (0.9404, 0.3643, 0.5000)
Cu (0.2995, 0.9971, 0.5000)
Cu (0.0337, 0.4972, 0.0000)

## Properties
E_form = -0.0694 eV/atom

---

# 2
Computed, not measured: a geometry-optimized Y2Er2CI5 structure at the PBE level of DFT.

a b c (Å): 9.7944 9.7944 8.5806
angles (deg): 102.23 102.23 23.34
Positions (direct):
Er (0.6262, 0.6262, 0.0624)
Er (0.3738, 0.3738, 0.9376)
I (0.1668, 0.1668, 0.8272)
I (0.1634, 0.1634, 0.3348)
I (0.5000, 0.5000, 0.5000)
I (0.8332, 0.8332, 0.1728)
I (0.8366, 0.8366, 0.6652)
Y (0.9995, 0.9995, 0.1897)
Y (0.0005, 0.0005, 0.8103)
C (0.5000, 0.5000, 0.0000)

## Properties
uncorrected energy = -4.995 eV per atom

---

# 3
Computed, not measured: a geometry-optimized CoGe2W structure at the PBE level of DFT.

a b c (Å): 4.3749 4.3749 4.3749
angles (deg): 60.00 60.00 60.00
Positions (direct):
Co (0.2500, 0.2500, 0.2500)
W (0.5000, 0.5000, 0.5000)
Ge (0.0000, 0.0000, 0.0000)
Ge (0.7500, 0.7500, 0.7500)

## Properties
uncorrected energy = -6.798 eV per atom

---

# 4
Computed, not measured: a geometry-optimized Ba2GdInTe5 structure at the PBE level of DFT.

a b c (Å): 10.5107 10.5107 14.3283
angles (deg): 90.00 90.00 154.75
Positions (direct):
Ba (0.3694, 0.6306, 0.1842)
Ba (0.3805, 0.6195, 0.8181)
Ba (0.6195, 0.3805, 0.3181)
Ba (0.6306, 0.3694, 0.6842)
Te (0.9957, 0.0043, 0.2385)
Te (0.4506, 0.5494, 0.4471)
Te (0.2079, 0.7921, 0.8382)
Te (0.7921, 0.2079, 0.3382)
Te (0.8101, 0.1899, 0.6356)
Te (0.5494, 0.4506, 0.9471)
Te (0.0043, 0.9957, 0.7385)
Te (0.1899, 0.8101, 0.1356)
Te (0.1435, 0.8565, 0.4988)
Te (0.8565, 0.1435, 0.9988)
In (0.0560, 0.9440, 0.0655)
In (0.9440, 0.0560, 0.5655)
Gd (0.2905, 0.7095, 0.4823)
Gd (0.7095, 0.2905, 0.9823)

## Properties
uncorrected energy = -4.301 eV per atom

---

# 5
Computed, not measured: a geometry-optimized Dy2YIr2 structure at the PBE level of DFT.

a b c (Å): 4.7259 4.7259 11.9671
angles (deg): 90.00 90.00 120.00
Positions (direct):
Dy (0.3333, 0.6667, 0.9117)
Dy (0.6667, 0.3333, 0.4117)
Dy (0.3333, 0.6667, 0.5883)
Dy (0.6667, 0.3333, 0.0883)
Ir (0.0000, 0.0000, 0.5000)
Ir (0.3333, 0.6667, 0.2500)
Ir (0.0000, 0.0000, 0.0000)
Ir (0.6667, 0.3333, 0.7500)
Y (0.0000, 0.0000, 0.7500)
Y (0.0000, 0.0000, 0.2500)

## Properties
E_form = -0.5296 eV/atom

---

# 6
Computed, not measured: a geometry-optimized Ta4Al3Mo2C3 structure at the PBE level of DFT.

a b c (Å): 5.3392 5.3392 14.0540
angles (deg): 101.00 101.00 59.98
Positions (direct):
Mo (0.5292, 0.3654, 0.0869)
Mo (0.6346, 0.4708, 0.4131)
Mo (0.4708, 0.6346, 0.9131)
Mo (0.3654, 0.5292, 0.5869)
C (0.8386, 0.3307, 0.0000)
C (0.3307, 0.8386, 0.5000)
C (0.6693, 0.1614, 0.5000)
C (0.5000, 0.0000, 0.0000)
C (0.0000, 0.5000, 0.5000)
C (0.1614, 0.6693, 0.0000)
Al (0.8943, 0.1057, 0.2500)
Al (0.7255, 0.5843, 0.7503)
Al (0.4157, 0.2745, 0.7497)
Al (0.5843, 0.7255, 0.2503)
Al (0.2745, 0.4157, 0.2497)
Al (0.1057, 0.8943, 0.7500)
Ta (0.6971, 0.8618, 0.5912)
Ta (0.0283, 0.1994, 0.5911)
Ta (0.3029, 0.1382, 0.4088)
Ta (0.1994, 0.0283, 0.0911)
Ta (0.1382, 0.3029, 0.9088)
Ta (0.9717, 0.8006, 0.4089)
Ta (0.8618, 0.6971, 0.0912)
Ta (0.8006, 0.9717, 0.9089)

## Properties
uncorrected energy = -9.412 eV per atom

---

| no. | magnetic moment (μB per cell) |
| --- | --- |
| 1 | 0.03 |
| 2 | 0.16 |
| 3 | 1.11 |
| 4 | 0.01 |
| 5 | 0.03 |
| 6 | 0.00 |